Entry from the Alexandria database: an optimized crystal structure of Tb2Ga5Ru3 (PBE).

**DFT formation energy**: -0.54 eV per atom
**Calculated total energy**: -5.7615 eV/atom
**Total moment**: 0.329 μB/f.u.

The structure in CIF format:
```
data_Tb2Ga5Ru3
_cell_length_a 9.725
_cell_length_b 13.030
_cell_length_c 5.724
_cell_angle_alpha 90.00
_cell_angle_beta 90.00
_cell_angle_gamma 90.00
_space_group_name_H-M_alt 'I b a m'
_space_group_IT_number 72
_space_group_name_Hall '-I 2 2c'
loop_
_atom_site_label
_atom_site_type_symbol
_atom_site_fract_x
_atom_site_fract_y
_atom_site_fract_z
_atom_site_occupancy
Tb1 Tb 0.228 0.146 0.000 1
Ga1 Ga 0.000 0.000 0.250 1
Ga2 Ga 0.000 0.301 0.250 1
Ga3 Ga 0.188 0.418 0.000 1
Ru1 Ru 0.000 0.500 0.250 1
Ru2 Ru 0.075 0.153 0.500 1
```

Entry from the Alexandria database: an optimized crystal structure of Ba2ZnRhBr (PBE).

**Calculated total energy**: -3.5690 eV/atom
**Total moment**: 0.000 μB/f.u.

The structure in CIF format:
```
data_Ba2ZnRhBr
_cell_length_a 6.026
_cell_length_b 6.026
_cell_length_c 4.826
_cell_angle_alpha 90.00
_cell_angle_beta 90.00
_cell_angle_gamma 90.00
_space_group_name_H-M_alt 'P 4/m m m'
_space_group_IT_number 123
_space_group_name_Hall '-P 4 2'
loop_
_atom_site_label
_atom_site_type_symbol
_atom_site_fract_x
_atom_site_fract_y
_atom_site_fract_z
_atom_site_occupancy
Ba1 Ba 0.000 0.500 0.000 1
Zn1 Zn 0.000 0.000 0.500 1
Rh1 Rh 0.000 0.000 0.000 1
Br1 Br 0.500 0.500 0.500 1
```

> What is the formula in the first record?

Tb2Ga5Ru3

> Among the records above, which one has the lowest calculated total energy?

Tb2Ga5Ru3

> Look up the total moment of the second one.

0.000 μB/f.u.